Rb2TlCr2F7 | Alexandria | GGA+U | relaxed; total energy = -5.209 eV per atom
1.0
-2.206 2.206 10.839
2.206 -2.206 10.839
2.206 2.206 -10.839
Rb Tl Cr F
2 1 2 7
Cartesian
0.000 0.000 3.960
0.000 0.000 17.719
0.000 0.000 0.000
0.000 0.000 8.787
0.000 0.000 12.891
2.206 0.000 2.054
0.000 0.000 6.774
2.206 0.000 8.785
0.000 0.000 10.839
0.000 2.206 2.054
0.000 0.000 14.905
0.000 2.206 8.785